# 1
VASP calculation (PBE) on an optimized crystal structure of AcAl2SbAu5.

Lattice parameters (Å, degrees): 4.966 4.966 8.709 90.00 90.00 90.00
Space group P4/mmm (No. 123)
One atom of each set of equivalent atoms:
Ac 0.000 0.000 0.000
Al 0.500 0.500 0.282
Sb 0.000 0.000 0.500
Au 0.000 0.500 0.312
Au 0.500 0.500 0.000

Properties
The density of states at the Fermi level comes out at 3.88 states/eV per cell. The value obtained for the total DFT energy (no corrections) is -34.7 eV for the cell shown. For the uncorrected formation energy, the calculation gives -0.289 eV per atom.

=====

# 2
VASP calculation (PBE) on an optimized crystal structure of RbNa2InCu.

Lattice parameters (Å, degrees): 5.796 5.796 5.057 90.00 90.00 90.00
Space group P4/mmm (No. 123)
One atom of each set of equivalent atoms:
Rb 0.000 0.000 0.000
Na 0.000 0.500 0.500
In 0.500 0.500 0.000
Cu 0.500 0.500 0.500

Properties
The density of states at the Fermi level comes out at 3.66 states/eV per cell. The value obtained for the total DFT energy (no corrections) is -10.0 eV for the cell shown. The value obtained for the energy of formation from the pure elements is 0.0806 eV/atom.